Compound: BeZnCl
Source: Alexandria
Functional: GGA-PBE
Structure: optimized geometry

The structure in POSCAR format:
```
BeZnCl
1.0
-0.0234 -0.4712 -3.0459
2.4838 -0.7621 1.6583
-2.7104 -6.5747 1.0380
Be Zn Cl
1 1 1
Direct
0.0000 0.0000 0.0257
0.3333 0.6667 0.7772
0.6667 0.3333 0.1971
```

**Symmetry**: P3m1
**Density**: 3.1 Mg/m³

Compound: SrCe2Ge6
Source: Alexandria
Functional: GGA-PBE
Structure: optimized geometry

The structure in POSCAR format:
```
SrCe2Ge6
1.0
-1.4617 -0.9208 -3.8023
3.3514 -6.8661 0.3743
-7.1609 0.9041 2.5339
Sr Ce Ge
1 2 6
Direct
0.0000 0.0000 0.0000
0.0000 0.3333 0.6667
0.0000 0.6667 0.3333
0.5000 0.3382 0.3382
0.5000 0.6618 0.6618
0.5000 0.0000 0.6618
0.5000 0.6618 0.0000
0.5000 0.3382 0.0000
0.5000 0.0000 0.3382
```

**Symmetry**: P6/mmm
**Density**: 6.3 Mg/m³

Compound: SrMnAlSe2
Source: Alexandria
Functional: GGA-PBE
Structure: optimized geometry

The structure in POSCAR format:
```
SrMnAlSe2
1.0
5.2030 0.0000 0.0000
0.0000 4.7801 0.0000
0.0000 0.0000 5.2030
Sr Mn Al Se
1 1 1 2
Direct
0.5000 0.5000 0.5000
0.0000 0.5000 0.0000
0.0000 0.0000 0.0000
0.0000 0.0000 0.5000
0.5000 0.0000 0.0000
```

**Symmetry**: P4/mmm
**Density**: 4.2 Mg/m³

Compound: La2Dy7Er3
Source: Alexandria
Functional: GGA-PBE
Structure: optimized geometry

The structure in POSCAR format:
```
La2Dy7Er3
1.0
3.5192 0.0000 0.0000
0.0000 6.3067 0.7507
0.0000 2.3824 17.7805
La Dy Er
2 7 3
Direct
0.5000 0.6139 0.3277
0.5000 0.3861 0.6723
0.5000 0.2407 0.5017
0.5000 0.7593 0.4983
0.0000 0.5626 0.1616
0.0000 0.0000 0.0000
0.0000 0.4374 0.8384
0.5000 0.9354 0.8340
0.5000 0.0646 0.1660
0.5000 0.5000 0.0000
0.0000 0.1112 0.3427
0.0000 0.8888 0.6573
```

**Symmetry**: P2/m
**Density**: 8.2 Mg/m³

Compound: Pm4PrEr3S8
Source: Alexandria
Functional: GGA-PBE
Structure: optimized geometry

The structure in POSCAR format:
```
Pm4PrEr3S8
1.0
-3.2968 -2.2558 6.8655
6.9497 -3.2122 2.2818
-0.2866 7.6190 -2.2292
Pm Pr Er S
4 1 3 8
Direct
0.5000 0.0000 0.0000
0.5000 0.0000 0.5000
0.0000 0.0000 0.0000
0.0000 0.0000 0.5000
0.0000 0.5000 0.0000
0.5000 0.5000 0.0000
0.5000 0.5000 0.5000
0.0000 0.5000 0.5000
0.2520 0.7401 0.9881
0.2520 0.7401 0.5040
0.2557 0.2671 0.5114
0.7361 0.7401 0.9881
0.2639 0.2599 0.0119
0.7443 0.7329 0.4886
0.7480 0.2599 0.4960
0.7480 0.2599 0.0119
```

**Symmetry**: R-3m
**Density**: 6.9 Mg/m³

Compound: BaCaRe
Source: Alexandria
Functional: GGA-PBE
Structure: optimized geometry

The structure in POSCAR format:
```
BaCaRe
1.0
-1.5048 2.2480 -2.3424
2.3994 -2.4074 -1.1186
-6.1100 -5.4730 -1.3272
Re Ca Ba
1 1 1
Direct
0.3333 0.6667 0.6587
0.6667 0.3333 0.4055
0.0000 0.0000 0.9358
```

**Symmetry**: P3m1
**Density**: 6.6 Mg/m³

In eV/cell, the energy values for the records above are, in order, -7.1, -45.8, -23.2, -54.8, -102.4, -12.9.